Entry 1:
Material: La4Tl2Cd3
Method: DFT, PBE
State: relaxed

Lattice parameters (Å, degrees): 9.3225 5.3786 10.7875 90.00 90.05 90.00
Closest atoms and distances in Å follow each position.
Space group C2/m (No. 12)
One atom of each set of equivalent atoms:
La 0.0002 0.0000 0.1502  1 La 3.24, 3 Tl 3.44, 6 Cd 3.46-3.54
La 0.1669 0.5000 0.3819  4 Tl 3.27-3.56, 3 Cd 3.36
Tl 0.1663 0.5000 0.7121  1 Cd 3.19, 7 La 3.27-3.56
Cd 0.0000 0.0000 0.5000  6 La 3.36
Cd 0.1667 0.5000 0.0078  3 Cd 3.11, 1 Tl 3.19, 3 La 3.46-3.47

Results
VASP energy	-3.34	eV/atom
V	541	Å³ per cell

=====

Entry 2:
Material: HoBrCl
Method: DFT, PBE
State: relaxed

Lattice parameters (Å, degrees): 3.7791 3.7791 7.3295 90.00 90.00 120.00
Closest atoms and distances in Å follow each position.
Space group P3m1 (No. 156)
One atom of each set of equivalent atoms:
Ho 0.0000 0.0000 0.0000  3 Cl 2.73, 3 Br 2.85
Br 0.3333 0.6667 0.7498  3 Ho 2.85
Cl 0.6667 0.3333 0.2246  3 Ho 2.73

Results
E_form (uncorrected)	-39.83	kcal/mol of atoms
V	91	Å³ per cell

=====

Entry 3:
Material: CaAsH2
Method: DFT, PBE
State: relaxed

Lattice parameters (Å, degrees): 5.8817 5.8817 5.8817 90.00 90.00 90.00
Closest atoms and distances in Å follow each position.
Space group Fm-3m (No. 225)
One atom of each set of equivalent atoms:
Ca 0.0000 0.0000 0.0000  8 H 2.55
As 0.0000 0.0000 0.5000  8 H 2.55
H 0.2500 0.2500 0.2500  4 As 2.55, 4 Ca 2.55

Results
energy relative to the lowest polymorph listed for this composition	16	meV per atom
V	203	Å³ per cell

=====

Entry 4:
Material: PmHo4Ru5
Method: DFT, PBE
State: relaxed

Lattice parameters (Å, degrees): 3.4062 3.4062 16.9946 90.00 90.00 90.00
Closest atoms and distances in Å follow each position.
Space group P4/mmm (No. 123)
One atom of each set of equivalent atoms:
Pm 0.0000 0.0000 0.0000  8 Ru 2.99
Ho 0.0000 0.0000 0.2033  8 Ru 2.94
Ho 0.0000 0.0000 0.4010  8 Ru 2.94
Ru 0.5000 0.5000 0.1040  4 Ho 2.94, 4 Pm 2.99
Ru 0.5000 0.5000 0.3022  8 Ho 2.94
Ru 0.5000 0.5000 0.5000  8 Ho 2.94

Results
VASP energy	-7.25	eV/atom
V	197	Å³ per cell